Er4Zn5Si6 | PBE | optimized geometry

Calculated values
**E**: -4.290 eV per atom
**V**: 18.93 Å³/atom
**Formation energy from raw total energies**: -479 meV/atom
**Space-group type**: Cmc2_1, No. 36

abc: 4.1569 9.3257 15.0291
angles: 90.00 90.00 102.88
Fractional coordinates of all 30 atoms:
Er 0.1756 0.3512 0.9444
Er 0.9670 0.9339 0.2629
Er 0.0330 0.0661 0.7629
Er 0.8244 0.6488 0.4444
Er 0.8329 0.6658 0.8041
Er 0.0180 0.0360 0.4998
Er 0.9820 0.9640 0.9998
Er 0.1671 0.3342 0.3041
Si 0.5672 0.1344 0.9045
Si 0.1126 0.2253 0.1181
Si 0.2271 0.4542 0.7636
Si 0.5568 0.1136 0.3546
Si 0.4432 0.8864 0.8546
Si 0.7729 0.5458 0.2636
Si 0.7785 0.5569 0.9869
Si 0.5680 0.1360 0.6294
Si 0.4328 0.8656 0.4045
Si 0.8874 0.7747 0.6181
Si 0.2215 0.4431 0.4869
Si 0.4320 0.8640 0.1294
Zn 0.6496 0.2992 0.4780
Zn 0.1508 0.3015 0.6264
Zn 0.8492 0.6985 0.1264
Zn 0.3504 0.7008 0.9780
Zn 0.3008 0.6016 0.6234
Zn 0.4358 0.8716 0.6846
Zn 0.5642 0.1284 0.1846
Zn 0.6563 0.3126 0.7750
Zn 0.6992 0.3984 0.1234
Zn 0.3437 0.6874 0.2750